Below is crystalline Ac4Cl at its relaxed geometry, with properties calculated at the PBE level.

Calculated values
The formation energy (no corrections) is -543 meV per atom.

a b c (Å): 5.916 5.916 5.916
angles (deg): 90.00 90.00 90.00
Space group Pm-3m (No. 221)
Asymmetric unit:
Ac1 0.000 0.000 0.000 (multiplicity 1)
Ac2 0.000 0.500 0.500 (multiplicity 3)
Cl1 0.500 0.500 0.500 (multiplicity 1)